[1]
DFT (PBE) results for a relaxed structure of AcPrPaO6.

a b c (Å): 5.361 5.361 11.247
angles (deg): 90.00 90.00 90.00
Each line ends with the local moment (μB).
Atoms (fractional coordinates):
O (0.211, 0.789, 0.172)  0.09
Pa (0.500, 0.500, 0.167)  0.02
O (0.815, 0.185, 0.814)  0.11
O (0.789, 0.211, 0.172)  0.09
O (0.289, 0.289, 0.672)  0.09
Pa (0.000, 0.000, 0.667)  0.02
O (0.685, 0.685, 0.314)  0.11
O (0.677, 0.677, 0.014)  0.13
O (0.323, 0.323, 0.014)  0.13
Ac (0.500, 0.500, 0.502)  0.02
Pr (0.000, 0.000, 0.332)  0.00
O (0.823, 0.177, 0.514)  0.13
Pr (0.500, 0.500, 0.832)  0.00
O (0.711, 0.711, 0.672)  0.09
O (0.315, 0.315, 0.314)  0.11
Ac (0.000, 0.000, 0.002)  0.02
O (0.185, 0.815, 0.814)  0.11
O (0.177, 0.823, 0.514)  0.13

Summary:
Total DFT energy (no corrections) in eV/cell: -153.694
Crystal system: tetragonal
Symmetry: P4_2nm (102)
Formation energy without anion corrections in meV per atom: -3190

[2]
DFT (PBE) results for a relaxed structure of CrW.

a b c (Å): 4.975 4.975 4.966
angles (deg): 90.00 90.00 90.00
Each line ends with the local moment (μB).
Atoms (fractional coordinates):
Cr (0.207, 0.793, 0.000)  0.95
Cr (0.793, 0.207, 0.000)  0.95
W (0.289, 0.289, 0.000)  -0.22
Cr (0.293, 0.293, 0.500)  0.95
W (0.711, 0.711, 0.000)  -0.22
W (0.211, 0.789, 0.500)  -0.22
Cr (0.707, 0.707, 0.500)  0.95
W (0.789, 0.211, 0.500)  -0.22

Summary:
Total DFT energy (no corrections) in eV/cell: -81.516
Crystal system: tetragonal
Symmetry: P4_2/mnm (136)

Mass density per entry: 7.14 12.74 Mg/m³